# 1
VASP calculation (PBE-GGA) on AlTePb2 after structural relaxation.

Summary:
Raw formation energy in eV per atom: 0.16
V in Å³ per cell: 116.0
Crystal system: monoclinic
Space-group type: C2/m (12)
Density of states at the Fermi level in states/eV/cell: 1.77

a = 6.744 Å, b = 6.246 Å, c = 3.223 Å
α = 89.40°, β = 76.46°, γ = 117.42°
Fractional positions:
Pb 0.000 0.500 0.500
Al 0.500 0.000 0.500
Te 0.500 0.500 0.000
Pb 0.000 0.000 0.000

=====

# 2
VASP calculation (PBE-GGA) on Al2Te4Pb after structural relaxation.

Summary:
Raw formation energy in eV per atom: -0.43
V in Å³ per cell: 463.9
Crystal system: orthorhombic
Space-group type: Cccm (66)

a = 6.758 Å, b = 6.758 Å, c = 11.710 Å
α = 90.00°, β = 90.00°, γ = 119.85°
Fractional positions:
Te 0.810 0.659 0.500
Te 0.000 0.500 0.175
Al 0.761 0.243 0.000
Te 0.659 0.810 0.000
Te 0.190 0.341 0.500
Al 0.239 0.757 0.000
Te 0.500 0.000 0.325
Te 0.341 0.190 0.000
Te 0.500 0.000 0.675
Al 0.243 0.761 0.500
Pb 0.500 0.500 0.250
Pb 0.500 0.500 0.750
Al 0.757 0.239 0.500
Te 0.000 0.500 0.825

=====

# 3
VASP calculation (PBE-GGA) on Al2Te2Pb after structural relaxation.

Summary:
Raw formation energy in eV per atom: 0.03
V in Å³ per cell: 134.6
Crystal system: tetragonal
Space-group type: I4/mmm (139)
Density of states at the Fermi level in states/eV/cell: 2.41

a = 3.963 Å, b = 3.963 Å, c = 9.018 Å
α = 77.31°, β = 77.31°, γ = 90.00°
Fractional positions:
Al 0.250 0.750 0.500
Pb 0.000 0.000 0.000
Te 0.387 0.387 0.226
Te 0.613 0.613 0.774
Al 0.750 0.250 0.500

=====

# 4
VASP calculation (PBE-GGA) on Al2TePb after structural relaxation.

Summary:
Raw formation energy in eV per atom: 0.06
V in Å³ per cell: 103.1
Crystal system: trigonal
Space-group type: R-3m (166)
Density of states at the Fermi level in states/eV/cell: 0.67

a = 7.721 Å, b = 7.721 Å, c = 7.721 Å
α = 30.18°, β = 30.18°, γ = 30.18°
Fractional positions:
Al 0.003 0.003 0.003
Te 0.750 0.750 0.750
Pb 0.250 0.250 0.250
Al 0.497 0.497 0.497

=====

# 5
VASP calculation (PBE-GGA) on Al2TePb2 after structural relaxation.

Summary:
Raw formation energy in eV per atom: 0.25
V in Å³ per cell: 139.7
Crystal system: tetragonal
Space-group type: I4/mmm (139)
Density of states at the Fermi level in states/eV/cell: 2.84

a = 7.052 Å, b = 7.052 Å, c = 7.052 Å
α = 140.68°, β = 140.68°, γ = 56.82°
Fractional positions:
Te 0.000 0.000 0.000
Al 0.400 0.400 0.000
Pb 0.250 0.750 0.500
Al 0.600 0.600 0.000
Pb 0.750 0.250 0.500

=====

# 6
VASP calculation (PBE-GGA) on Al2TePb after structural relaxation.

Summary:
Raw formation energy in eV per atom: 0.16
V in Å³ per cell: 98.9
Crystal system: tetragonal
Space-group type: P4mm (99)
Density of states at the Fermi level in states/eV/cell: 1.94

a = 3.218 Å, b = 3.218 Å, c = 9.546 Å
α = 90.00°, β = 90.00°, γ = 90.00°
Fractional positions:
Al 0.000 0.000 0.033
Pb 0.000 0.000 0.452
Al 0.500 0.500 0.211
Te 0.500 0.500 0.803

=====

# 7
VASP calculation (PBE-GGA) on Al2TePb after structural relaxation.

Summary:
Raw formation energy in eV per atom: 0.26
V in Å³ per cell: 98.5
Crystal system: tetragonal
Space-group type: I4/mmm (139)
Density of states at the Fermi level in states/eV/cell: 1.94

a = 5.345 Å, b = 5.345 Å, c = 5.345 Å
α = 125.04°, β = 125.04°, γ = 81.47°
Fractional positions:
Al 0.500 0.500 0.000
Te 0.750 0.250 0.500
Al 0.000 0.000 0.000
Pb 0.250 0.750 0.500

=====

# 8
VASP calculation (PBE-GGA) on Al2TePb after structural relaxation.

Summary:
Raw formation energy in eV per atom: 0.21
V in Å³ per cell: 100.2
Crystal system: tetragonal
Space-group type: P4/mmm (123)
Density of states at the Fermi level in states/eV/cell: 2.20

a = 5.024 Å, b = 5.024 Å, c = 3.969 Å
α = 90.00°, β = 90.00°, γ = 90.00°
Fractional positions:
Al 0.000 0.000 0.000
Pb 0.500 0.000 0.500
Al 0.500 0.500 0.000
Te 0.000 0.500 0.500

=====

Calculated values (meV/atom) of E above lowest polymorph for the records, taken in order: 104.7 0.0 96.6 39.0 133.4 137.0 229.7 185.1.